NiP2Br | PBE | relaxed

Lattice parameters (Å, degrees): 6.6839 6.6839 6.6839 31.49 31.49 31.49
Closest atoms and distances in Å follow each position.
Positions (direct):
1 Ni 0.0000 0.0000 0.0000  6 P 2.27
2 P 0.2874 0.2874 0.2874  3 Ni 2.27
3 P 0.7126 0.7126 0.7126  3 Ni 2.27
4 Br 0.5000 0.5000 0.5000  6 P 3.11

E_form (uncorrected) ... 10 meV per atom
Magnetic moment ... 0.0 μB/cell
Energy ... -4.56 eV per atom